VASP calculation (GGA-PBE) on Sm2NiGe4Au3 after structural relaxation.

## Properties
* space group: No. 115
* ΔH_f (0 K): -510.2 kJ/mol of formula units
* total energy: -4.881 eV/atom

Cell: 4.281 4.281 10.901 Å, 90.00 90.00 90.00°
Fractional positions:
1 Sm 0.000 0.500 0.727
2 Sm 0.500 0.000 0.273
3 Ge 0.500 0.500 0.000
4 Ge 0.000 0.000 0.000
5 Ge 0.000 0.500 0.376
6 Ge 0.500 0.000 0.624
7 Au 0.000 0.000 0.500
8 Au 0.500 0.000 0.854
9 Au 0.000 0.500 0.146
10 Ni 0.500 0.500 0.500